# GdScCdSn PBE-GGA relaxed
data_GdScCdSn
_cell_length_a 5.186
_cell_length_b 5.186
_cell_length_c 5.186
_cell_angle_alpha 60.00
_cell_angle_beta 60.00
_cell_angle_gamma 60.00
_space_group_name_H-M_alt 'P 1'
_space_group_IT_number 1
loop_
_space_group_symop_operation_xyz
'x,y,z'
loop_
_atom_site_label
_atom_site_fract_x
_atom_site_fract_y
_atom_site_fract_z
Sc1 0.000 0.000 0.000
Gd1 0.500 0.500 0.500
Sn1 0.250 0.250 0.250
Cd1 0.750 0.750 0.750
# * calculated total energy: -27.203 eV/cell
# * energy of formation: -0.4683 eV/atom
# * D(E_F): 2.83 states/eV/f.u.